Nd2SmCo3 | the Alexandria database | PBE | optimized geometry; D(E_F) = 0.5724 states/eV per atom; space-group type = Cmcm; calculated formation energy = -0.073 eV per atom; electronic total energy = -6.00 eV per atom
1.0
7.041 -4.059 0.000
7.041 4.059 0.000
0.000 0.000 4.613
Nd Sm Co
4 2 6
Direct
0.002 0.667 0.750 Nd
0.333 0.998 0.750 Nd
0.667 0.002 0.250 Nd
0.998 0.333 0.250 Nd
0.335 0.665 0.250 Sm
0.665 0.335 0.750 Sm
0.000 0.000 0.000 Co
0.000 0.000 0.500 Co
0.335 0.335 0.000 Co
0.335 0.335 0.500 Co
0.665 0.665 0.000 Co
0.665 0.665 0.500 Co